Entry from the Alexandria database: an optimized crystal structure of La3ZrCu (PBE-GGA).

Cell lengths 5.704, 5.704, 5.704 Å; angles 90.00, 90.00, 90.00 degrees
Space group Pm-3m (No. 221)
Symmetry-distinct sites (fractional):
La: 0.000 0.000 0.500
Zr: 0.000 0.000 0.000
Cu: 0.500 0.500 0.500

- E_tot: -24.0 eV per formula unit
- Energy relative to the lowest polymorph listed for this composition: 247 meV per atom
- Formation energy from the elements: 688 meV per atom